DFT (PBE-GGA) results for crystalline CrGaFeRe at its relaxed geometry.

abc: 4.1610 4.1610 4.1610
angles: 60.00 60.00 60.00
With the nearest neighbours (Å) after each atom.
Fractional positions:
Ga: 0.7500 0.7500 0.7500  4 Fe 2.55, 4 Cr 2.55
Cr: 0.0000 0.0000 0.0000  4 Re 2.55, 4 Ga 2.55
Re: 0.2500 0.2500 0.2500  4 Cr 2.55, 4 Fe 2.55
Fe: 0.5000 0.5000 0.5000  4 Re 2.55, 4 Ga 2.55

Properties
DOS at the Fermi energy in states/eV/cell: 3.76
M_tot in μB/f.u.: 0.0
Calculated formation energy in eV/atom: 0.0717

DFT (PBE-GGA) results for crystalline CrGa3Fe2Se8 at its relaxed geometry.

abc: 3.8314 6.7169 13.4425
angles: 80.42 90.00 90.00
With the nearest neighbours (Å) after each atom.
Fractional positions:
Cr: 0.0000 0.2399 0.2894  4 Se 2.43-2.50
Ga: 0.0000 0.0048 0.9994  6 Se 2.62-2.65
Ga: 0.5000 0.7371 0.2927  4 Se 2.45-2.46
Ga: 0.5000 0.4977 0.9969  6 Se 2.62-2.69
Se: 0.5000 0.3775 0.3658  2 Cr 2.43, 1 Ga 2.45
Se: 0.0000 0.2993 0.1057  1 Cr 2.43, 3 Ga 2.63
Se: 0.0000 0.8766 0.3712  2 Ga 2.45, 1 Cr 2.50
Se: 0.0000 0.1160 0.6410  3 Fe 2.42
Se: 0.5000 0.7970 0.1073  4 Ga 2.46-2.69
Se: 0.5000 0.2021 0.8915  1 Fe 2.38, 3 Ga 2.62
Se: 0.0000 0.7059 0.8940  1 Fe 2.38, 3 Ga 2.63-2.64
Se: 0.5000 0.6165 0.6428  3 Fe 2.42
Fe: 0.0000 0.7615 0.7142  4 Se 2.38-2.42
Fe: 0.5000 0.2602 0.7122  4 Se 2.38-2.42

Properties
Energy relative to the elements, uncorrected in eV per atom: -0.29
DOS at the Fermi energy in states/eV/cell: 9.05
M_tot in μB/f.u.: 10.9

DFT (PBE-GGA) results for crystalline Cr2GaFe5Tc2 at its relaxed geometry.

abc: 3.8215 8.0701 8.0701
angles: 90.00 90.00 90.00
With the nearest neighbours (Å) after each atom.
Fractional positions:
Fe: 0.5000 0.4295 0.2986  2 Cr 2.40, 4 Fe 2.44-2.60, 2 Ga 2.57
Fe: 0.5000 0.9295 0.2014  2 Cr 2.40, 4 Fe 2.44-2.60, 2 Ga 2.57
Fe: 0.5000 0.7986 0.9295  2 Cr 2.40, 4 Fe 2.44-2.60, 2 Ga 2.57
Fe: 0.5000 0.0000 0.5000  4 Cr 2.41, 4 Fe 2.48, 4 Tc 2.69
Fe: 0.5000 0.2986 0.5705  2 Cr 2.40, 4 Fe 2.44-2.60, 2 Ga 2.57
Fe: 0.5000 0.5705 0.7014  2 Cr 2.40, 4 Fe 2.44-2.60, 2 Ga 2.57
Fe: 0.5000 0.0705 0.7986  2 Cr 2.40, 4 Fe 2.44-2.60, 2 Ga 2.57
Fe: 0.5000 0.7014 0.4295  2 Cr 2.40, 4 Fe 2.44-2.60, 2 Ga 2.57
Fe: 0.5000 0.5000 0.0000  4 Cr 2.41, 4 Fe 2.48, 4 Tc 2.69
Fe: 0.5000 0.2014 0.0705  2 Cr 2.40, 4 Fe 2.44-2.60, 2 Ga 2.57
Tc: 0.0000 0.8342 0.6658  3 Cr 2.34-2.40
Tc: 0.0000 0.3342 0.8342  3 Cr 2.34-2.40
Tc: 0.0000 0.6658 0.1658  3 Cr 2.34-2.40
Tc: 0.0000 0.1658 0.3342  3 Cr 2.34-2.40
Ga: 0.0000 0.0000 0.0000  8 Fe 2.57
Ga: 0.0000 0.5000 0.5000  8 Fe 2.57
Cr: 0.0000 0.6289 0.8711  3 Tc 2.34-2.40, 6 Fe 2.40-2.41
Cr: 0.0000 0.8711 0.3711  3 Tc 2.34-2.40, 6 Fe 2.40-2.41
Cr: 0.0000 0.3711 0.1289  3 Tc 2.34-2.40, 6 Fe 2.40-2.41
Cr: 0.0000 0.1289 0.6289  3 Tc 2.34-2.40, 6 Fe 2.40-2.41

Properties
DOS at the Fermi energy in states/eV/cell: 21.54
M_tot in μB/f.u.: 4.6
Calculated formation energy in eV/atom: 0.1653

DFT (PBE-GGA) results for crystalline Cr2GaFe5W2 at its relaxed geometry.

abc: 3.6877 8.2849 8.2849
angles: 90.00 90.00 90.00
With the nearest neighbours (Å) after each atom.
Fractional positions:
Fe: 0.5000 0.2056 0.0632  2 Cr 2.39, 3 Fe 2.49-2.52, 2 Ga 2.56
Fe: 0.5000 0.9368 0.2056  2 Cr 2.39, 3 Fe 2.49-2.52, 2 Ga 2.56
Fe: 0.5000 0.0632 0.7944  2 Cr 2.39, 3 Fe 2.49-2.52, 2 Ga 2.56
Fe: 0.5000 0.0000 0.5000  4 Cr 2.31, 4 Fe 2.49
Fe: 0.5000 0.7056 0.4368  2 Cr 2.39, 3 Fe 2.49-2.52, 2 Ga 2.56
Fe: 0.5000 0.5000 0.0000  4 Cr 2.31, 4 Fe 2.49
Fe: 0.5000 0.2944 0.5632  2 Cr 2.39, 3 Fe 2.49-2.52, 2 Ga 2.56
Fe: 0.5000 0.5632 0.7056  2 Cr 2.39, 3 Fe 2.49-2.52, 2 Ga 2.56
Fe: 0.5000 0.7944 0.9368  2 Cr 2.39, 3 Fe 2.49-2.52, 2 Ga 2.56
Fe: 0.5000 0.4368 0.2944  2 Cr 2.39, 3 Fe 2.49-2.52, 2 Ga 2.56
W: 0.0000 0.6778 0.1778  3 Cr 2.38-2.51
W: 0.0000 0.1778 0.3222  3 Cr 2.38-2.51
W: 0.0000 0.8222 0.6778  3 Cr 2.38-2.51
W: 0.0000 0.3222 0.8222  3 Cr 2.38-2.51
Cr: 0.0000 0.8811 0.3811  6 Fe 2.31-2.39, 3 W 2.38-2.51
Cr: 0.0000 0.6189 0.8811  6 Fe 2.31-2.39, 3 W 2.38-2.51
Cr: 0.0000 0.3811 0.1189  6 Fe 2.31-2.39, 3 W 2.38-2.51
Cr: 0.0000 0.1189 0.6189  6 Fe 2.31-2.39, 3 W 2.38-2.51
Ga: 0.0000 0.0000 0.0000  8 Fe 2.56
Ga: 0.0000 0.5000 0.5000  8 Fe 2.56

Properties
DOS at the Fermi energy in states/eV/cell: 21.16
M_tot in μB/f.u.: 4.2
Calculated formation energy in eV/atom: 0.2576